Ti6HC2N3: optimized geometry, GGA-PBE.

a b c (Å): 13.1706 3.0371 6.0846
angles (deg): 90.00 104.12 90.00
Closest atoms and distances in Å follow each position.
Space group C2/m (No. 12)
Symmetry-distinct sites (fractional):
Ti: 0.0021 0.0000 0.2338 (multiplicity 4)  3 N 2.08-2.10, 1 C 2.13, 2 H 2.23
Ti: 0.1680 0.5000 0.0785 (multiplicity 4)  3 C 2.15, 3 N 2.15-2.18
Ti: 0.1731 0.5000 0.5898 (multiplicity 4)  3 N 2.05-2.16, 2 C 2.12, 1 H 2.21
H: 0.0000 0.5000 0.5000 (multiplicity 2)  6 Ti 2.21-2.23
C: 0.1639 0.0000 0.8275 (multiplicity 4)  6 Ti 2.12-2.15
N: 0.0000 0.5000 0.0000 (multiplicity 2)  6 Ti 2.08-2.15
N: 0.1667 0.0000 0.3349 (multiplicity 4)  6 Ti 2.05-2.18

Properties
* DFT total energy: -109.31 eV per formula unit
* ρ: 4.984 Mg/m³